P | BeCo2S | PBE | relaxed

```
BeCo2S
1.0
-0.599 -3.531 -1.363
0.062 -3.007 2.376
-3.251 -1.850 0.834
S Co Be
1 2 1
Direct
0.500 0.500 0.500
0.750 0.750 0.750
0.250 0.250 0.250
0.000 0.000 0.000
```

Space-group type ... Fm-3m
Density of states at the Fermi level ... 0.41 states/eV/atom


Q | BeCo2S | PBE | relaxed

```
BeCo2S
1.0
4.881 0.000 0.000
0.000 4.881 0.000
2.440 2.440 4.698
Co Be S
4 2 2
Direct
0.623 0.125 0.250
0.127 0.625 0.250
0.375 0.377 0.750
0.875 0.873 0.750
0.250 0.750 0.500
0.500 0.500 0.000
0.000 0.000 0.000
0.750 0.250 0.500
```

Space-group type ... I-42d
Density of states at the Fermi level ... 0.66 states/eV/atom


Bottom line: P, by a margin of 34.3 kJ/mol of atoms.


P | BeCoSb | PBE | relaxed

```
BeCoSb
1.0
-2.556 -1.820 3.070
-2.350 -3.693 0.325
1.589 -2.360 1.730
Sb Be Co
1 1 1
Direct
0.671 0.671 0.329
0.999 0.999 0.001
0.330 0.330 0.670
```

Space-group type ... I4mm
Density of states at the Fermi level ... 0.60 states/eV/atom


Q | BeCoSb | PBE | relaxed

```
BeCoSb
1.0
-1.471 -2.653 -0.277
2.403 0.602 -1.774
3.417 -2.297 3.849
Sb Co Be
1 1 1
Direct
0.333 0.667 0.648
0.667 0.333 0.306
0.000 0.000 0.046
```

Space-group type ... P3m1
Density of states at the Fermi level ... 0.64 states/eV/atom


R | BeCoSb | PBE | relaxed

```
BeCoSb
1.0
4.005 0.000 0.000
2.002 3.468 0.000
2.002 1.156 3.270
Sb Be Co
1 1 1
Direct
0.000 0.000 0.000
0.500 0.500 0.500
0.750 0.750 0.750
```

Space-group type ... F-43m
Density of states at the Fermi level ... 0.85 states/eV/atom


Bottom line: R, by a margin of 13.0 kJ/mol of atoms.


P | BeCo3Sb | PBE | relaxed

```
BeCo3Sb
1.0
4.588 0.000 0.000
0.000 4.588 0.000
0.000 0.000 4.588
Co Be Sb
3 1 1
Direct
0.500 0.000 0.000
0.000 0.000 0.500
0.000 0.500 0.000
0.500 0.500 0.500
0.000 0.000 0.000
```

Space-group type ... Pm-3m
Density of states at the Fermi level ... 2.81 states/eV/atom


Q | BeCo3Sb | PBE | relaxed

```
BeCo3Sb
1.0
-2.853 -2.097 -1.737
-1.096 -1.418 3.513
-2.493 3.024 0.443
Co Sb Be
3 1 1
Direct
0.000 0.500 0.000
0.000 0.000 0.500
0.500 0.000 0.000
0.500 0.500 0.500
0.000 0.000 0.000
```

Space-group type ... Pm-3m
Density of states at the Fermi level ... 0.73 states/eV/atom


Bottom line: Q, by a margin of 122.5 kJ/mol of atoms.